Entry 1:
# Th4GaBiTe2 (PBE, optimized geometry)
data_Th4GaBiTe2
_chemical_formula_sum 'Th4 Ga1 Bi1 Te2'
_cell_length_a 4.473
_cell_length_b 7.887
_cell_length_c 7.670
_cell_angle_alpha 109.40
_cell_angle_beta 90.00
_cell_angle_gamma 90.00
_space_group_name_H-M_alt 'P 1'
_space_group_IT_number 1
_space_group_name_Hall 'P 1'
loop_
_atom_site_label
_atom_site_type_symbol
_atom_site_fract_x
_atom_site_fract_y
_atom_site_fract_z
Th1 Th 0.500 0.270 0.242
Th2 Th 0.000 0.722 0.227
Th3 Th 0.000 0.278 0.773
Th4 Th 0.500 0.730 0.758
Te1 Te 0.500 0.000 0.500
Te2 Te 0.000 0.500 0.500
Bi1 Bi 0.000 0.000 0.000
Ga1 Ga 0.500 0.500 0.000
# Crystal system   monoclinic
# Symmetry   P2/m (10)
# ΔE_f (raw)   -18.07 kcal/mol of atoms



Entry 2:
# Th6GaBi5 (PBE, optimized geometry)
data_Th6GaBi5
_chemical_formula_sum 'Th6 Ga1 Bi5'
_cell_length_a 7.893
_cell_length_b 7.893
_cell_length_c 7.888
_cell_angle_alpha 99.61
_cell_angle_beta 99.61
_cell_angle_gamma 119.86
_space_group_name_H-M_alt 'P 1'
_space_group_IT_number 1
_space_group_name_Hall 'P 1'
loop_
_atom_site_label
_atom_site_type_symbol
_atom_site_fract_x
_atom_site_fract_y
_atom_site_fract_z
Bi1 Bi 0.823 0.177 0.500
Bi2 Bi 0.500 0.500 0.500
Bi3 Bi 0.664 0.336 0.000
Bi4 Bi 0.336 0.664 0.000
Bi5 Bi 0.177 0.823 0.500
Th1 Th 0.077 0.389 0.234
Th2 Th 0.772 0.772 0.242
Th3 Th 0.611 0.923 0.766
Th4 Th 0.389 0.077 0.234
Th5 Th 0.923 0.611 0.766
Th6 Th 0.228 0.228 0.758
Ga1 Ga 0.000 0.000 0.000
# Formation enthalpy at 0 K   -53.3 kJ per mole of atoms
# Crystal system   monoclinic
# Symmetry   C2/m (12)



Entry 3:
# Th7Ga5Bi (PBE, optimized geometry)
data_Th7Ga5Bi
_chemical_formula_sum 'Th7 Ga5 Bi1'
_cell_length_a 6.079
_cell_length_b 8.219
_cell_length_c 8.219
_cell_angle_alpha 82.53
_cell_angle_beta 68.30
_cell_angle_gamma 68.30
_space_group_name_H-M_alt 'P 1'
_space_group_IT_number 1
_space_group_name_Hall 'P 1'
loop_
_atom_site_label
_atom_site_type_symbol
_atom_site_fract_x
_atom_site_fract_y
_atom_site_fract_z
Th1 Th 0.529 0.803 0.139
Th2 Th 0.288 0.712 0.712
Th3 Th 0.529 0.139 0.803
Th4 Th 0.993 0.336 0.679
Th5 Th 0.284 0.216 0.216
Th6 Th 0.993 0.679 0.336
Th7 Th 0.644 0.356 0.356
Ga1 Ga 0.491 0.493 0.002
Ga2 Ga 0.760 0.740 0.740
Ga3 Ga 0.014 0.002 0.493
Ga4 Ga 0.491 0.002 0.493
Ga5 Ga 0.014 0.493 0.002
Bi1 Bi 0.972 0.028 0.028
# Formation enthalpy at 0 K   -29.5 kJ per mole of atoms
# Crystal system   orthorhombic
# Symmetry   Imm2 (44)



Listing VASP energy for the structures above in their given order: -49.140 -73.579 -74.932 eV for the cell shown.